Below is a relaxed Sm12Bi6Os crystal, with properties calculated at the PBE-GGA level.

Values from the calculation:
- ΔH_f (0 K): -0.476 eV/atom
- Spin magnetization: 0.00 μB per formula unit
- Symmetry: R-3, No. 148
- Fermi-level density of states: 14.2 states/eV/f.u.

POSCAR file:
```
Sm12Bi6Os
1.0
8.852 -0.055 -0.066
-1.397 8.742 -0.066
-1.397 -1.627 8.589
Sm Os Bi
12 1 6
Cartesian
8.289 2.579 0.403
1.293 -1.138 8.518
7.379 -1.124 5.847
3.987 1.026 3.532
-2.230 4.480 8.053
0.410 2.744 4.661
2.650 4.440 1.641
2.072 6.033 4.924
5.649 4.315 3.795
4.766 8.196 -0.061
-1.320 8.183 2.610
3.409 2.619 6.816
0.000 0.000 0.000
5.132 2.531 0.962
-0.289 5.148 2.662
0.926 4.528 7.494
6.348 1.911 5.794
4.335 7.087 2.916
1.723 -0.028 5.541
```